SrEu3Au: optimized geometry, PBE-GGA.

## Properties
Space-group type: Pm-3m (221)
Energy of formation: -0.303 eV per atom
Total magnetization: 21.68 μB per formula unit
Density: 5.64 g cm⁻³

Lattice parameters (Å, degrees): 6.0187 6.0187 6.0187 90.00 90.00 90.00
Last column: magnetic moment on the atom in μB.
Positions (direct):
Au: 0.0000 0.0000 0.0000  -0.01
Eu: 0.0000 0.5000 0.0000  6.91
Eu: 0.5000 0.0000 0.0000  6.91
Sr: 0.5000 0.5000 0.5000  0.02
Eu: 0.0000 0.0000 0.5000  6.91

***

Be3ZnO: optimized geometry, PBE-GGA.

## Properties
Space-group type: Pm-3m (221)
Total magnetization: 1.88 μB per formula unit
Offset from the most stable computed form: 1448 meV per atom
ΔE_f (raw): 1.1170 eV/atom
Density: 2.55 g cm⁻³

Lattice parameters (Å, degrees): 4.1353 4.1353 4.1353 90.00 90.00 90.00
Last column: magnetic moment on the atom in μB.
Positions (direct):
O: 0.5000 0.5000 0.5000  0.88
Be: 0.5000 0.0000 0.0000  0.05
Be: 0.0000 0.5000 0.0000  0.11
Be: 0.0000 0.0000 0.5000  0.14
Zn: 0.0000 0.0000 0.0000  0.26

***

Pm3Cu8: optimized geometry, PBE-GGA.

## Properties
Space-group type: Immm (71)
Energy of formation: -0.168 eV per atom
Total magnetization: 0.00 μB per formula unit
Density: 7.78 g cm⁻³

Lattice parameters (Å, degrees): 3.7784 4.1494 13.1439 99.08 98.26 90.00
Positions (direct):
Pm: 0.0000 0.0000 0.0000
Cu: 0.3065 0.8065 0.6131
Cu: 0.7473 0.7473 0.4946
Cu: 0.2527 0.2527 0.5054
Pm: 0.8518 0.3518 0.7036
Cu: 0.5984 0.0984 0.1967
Cu: 0.6935 0.1935 0.3869
Cu: 0.4016 0.9016 0.8033
Cu: 0.4516 0.4516 0.9032
Pm: 0.1482 0.6482 0.2964
Cu: 0.5484 0.5484 0.0968

***

NaY2CdO: optimized geometry, PBE-GGA.

## Properties
Space-group type: P4/mmm (123)
Total magnetization: 0.00 μB per formula unit
ΔE_f (raw): -1.1495 eV/atom
Density: 5.03 g cm⁻³

Lattice parameters (Å, degrees): 4.7261 4.7261 4.8649 90.00 90.00 90.00
Positions (direct):
Cd: 0.5000 0.5000 0.5000
Na: 0.0000 0.0000 0.5000
O: 0.0000 0.0000 0.0000
Y: 0.0000 0.5000 0.0000
Y: 0.5000 0.0000 0.0000

***

PmSn2Ru: optimized geometry, PBE-GGA.

## Properties
Space-group type: P4/mmm (123)
Energy of formation: -0.194 eV per atom
Total magnetization: 0.00 μB per formula unit
Offset from the most stable computed form: 332 meV per atom
Density: 8.98 g cm⁻³

Lattice parameters (Å, degrees): 4.5955 4.4101 4.4101 90.00 90.00 90.00
Positions (direct):
Ru: 0.5000 0.5000 0.5000
Pm: 0.5000 0.0000 0.0000
Sn: 0.0000 0.5000 0.0000
Sn: 0.0000 0.0000 0.5000

***

CeHfSc4: optimized geometry, PBE-GGA.

## Properties
Space-group type: P2_1/m (11)
Energy of formation: 0.070 eV per atom
Total magnetization: 0.00 μB per formula unit
Density: 5.65 g cm⁻³

Lattice parameters (Å, degrees): 5.1943 9.5234 12.5491 109.18 90.00 90.00
Positions (direct):
Hf: 0.7499 0.2399 0.9349
Sc: 0.7500 0.9172 0.9811
Sc: 0.2503 0.4154 0.3592
Ce: 0.7502 0.2553 0.1887
Ce: 0.7498 0.2553 0.6887
Sc: 0.7500 0.9173 0.2277
Sc: 0.7497 0.5846 0.6408
Sc: 0.2500 0.0828 0.5189
Ce: 0.2502 0.7447 0.3113
Sc: 0.2497 0.4154 0.8592
Sc: 0.7497 0.5842 0.9016
Sc: 0.2503 0.4158 0.0984
Hf: 0.7501 0.2399 0.4349
Sc: 0.7503 0.5846 0.1408
Sc: 0.7500 0.9172 0.4811
Hf: 0.2501 0.7601 0.0651
Sc: 0.7500 0.9173 0.7277
Sc: 0.2500 0.0827 0.7723
Hf: 0.2499 0.7601 0.5651
Sc: 0.7503 0.5842 0.4016
Sc: 0.2500 0.0828 0.0189
Sc: 0.2497 0.4158 0.5984
Sc: 0.2500 0.0827 0.2723
Ce: 0.2498 0.7447 0.8113

***

TiGeSe2N: optimized geometry, PBE-GGA.

## Properties
Space-group type: P4/mmm (123)
Total magnetization: 0.00 μB per formula unit
Offset from the most stable computed form: 588 meV per atom
ΔE_f (raw): 0.5012 eV/atom
Density: 5.30 g cm⁻³

Lattice parameters (Å, degrees): 5.0869 5.0869 3.5397 90.00 90.00 90.00
Positions (direct):
Se: 0.5000 0.0000 0.0000
Se: 0.0000 0.5000 0.0000
Ti: 0.5000 0.5000 0.5000
Ge: 0.0000 0.0000 0.0000
N: 0.0000 0.0000 0.5000

***

CaFeTc2: optimized geometry, PBE-GGA.

## Properties
Space-group type: Fm-3m (225)
Energy of formation: 0.854 eV per atom
Total magnetization: 0.07 μB per formula unit
Offset from the most stable computed form: 485 meV per atom
Density: 7.99 g cm⁻³

Lattice parameters (Å, degrees): 4.4101 4.4101 4.4101 60.00 60.00 60.00
Positions (direct):
Tc: 0.2500 0.2500 0.2500
Fe: 0.5000 0.5000 0.5000
Ca: 0.0000 0.0000 0.0000
Tc: 0.7500 0.7500 0.7500

***

ZrAl2W: optimized geometry, PBE-GGA.

## Properties
Space-group type: R3m (160)
Energy of formation: 0.094 eV per atom
Total magnetization: 0.00 μB per formula unit
Offset from the most stable computed form: 277 meV per atom
Density: 7.69 g cm⁻³

Lattice parameters (Å, degrees): 9.7583 9.7583 9.7583 17.21 17.21 17.21
Positions (direct):
Al: 0.2490 0.2490 0.2490
Zr: 0.7489 0.7489 0.7489
W: 0.5069 0.5069 0.5069
Al: 0.9952 0.9952 0.9952

***

ZnGe2Te2Pd7: optimized geometry, PBE-GGA.

## Properties
Space-group type: C2/m (12)
Total magnetization: 0.00 μB per formula unit
ΔE_f (raw): -0.3122 eV/atom
Density: 8.69 g cm⁻³

Lattice parameters (Å, degrees): 3.9586 3.9586 15.0494 82.12 82.12 89.97
Positions (direct):
Pd: 0.7018 0.7018 0.5992
Pd: 0.5699 0.0696 0.8666
Pd: 0.0696 0.5699 0.8666
Te: 0.2077 0.2077 0.5873
Pd: 0.4301 0.9304 0.1334
Zn: 0.0000 0.0000 0.0000
Ge: 0.3776 0.3776 0.2351
Pd: 0.5000 0.5000 0.0000
Te: 0.7923 0.7923 0.4127
Ge: 0.6224 0.6224 0.7649
Pd: 0.2982 0.2982 0.4008
Pd: 0.9304 0.4301 0.1334

***

Rb2Tl6BiPd: optimized geometry, PBE-GGA.

## Properties
Space-group type: R-3m (166)
Energy of formation: -0.075 eV per atom
Total magnetization: 0.00 μB per formula unit
Density: 7.77 g cm⁻³

Lattice parameters (Å, degrees): 7.7597 7.7597 14.7340 74.73 74.73 60.00
Positions (direct):
Pd: 0.0000 0.0000 0.0000
Tl: 0.6656 0.0869 0.5820
Tl: 0.9131 0.3344 0.4180
Tl: 0.7808 0.3638 0.0745
Rb: 0.7251 0.7251 0.8248
Tl: 0.7808 0.7808 0.0745
Tl: 0.2192 0.2192 0.9255
Tl: 0.3344 0.9131 0.4180
Tl: 0.6656 0.6656 0.5820
Tl: 0.2192 0.6362 0.9255
Tl: 0.6362 0.2192 0.9255
Rb: 0.0993 0.0993 0.7021
Tl: 0.3344 0.3344 0.4180
Tl: 0.0869 0.6656 0.5820
Bi: 0.4271 0.4271 0.7187
Bi: 0.5729 0.5729 0.2813
Rb: 0.2749 0.2749 0.1752
Pd: 0.5000 0.5000 0.5000
Tl: 0.3638 0.7808 0.0745
Rb: 0.9007 0.9007 0.2979

***

Si2TcW: optimized geometry, PBE-GGA.

## Properties
Space-group type: Cmmm (65)
Total magnetization: 0.00 μB per formula unit
Offset from the most stable computed form: 407 meV per atom
ΔE_f (raw): 0.0310 eV/atom
Density: 9.81 g cm⁻³

Lattice parameters (Å, degrees): 2.8274 2.8274 7.8110 90.00 90.00 113.64
Positions (direct):
Si: 0.0000 0.0000 0.0077
W: 0.5000 0.5000 0.7500
Si: 0.0000 0.0000 0.4923
Tc: 0.5000 0.5000 0.2500